# 1
The following is a PBE-GGA calculation of Na2Mn2InS6 after structural relaxation, from the Alexandria database.

Unit cell a=6.2564 b=6.2564 c=6.9653 alpha=98.04 beta=98.04 gamma=120.99
Site moments in Bohr magnetons follow the coordinates.
Fractional coordinates of all 11 atoms:
S 0.6969 0.6969 0.6983  -0.03
S 0.5719 0.9412 0.3048  -0.05
S 0.9412 0.5719 0.3048  -0.05
In 0.0000 0.0000 0.5000  -0.02
Na 0.8409 0.1591 0.0000  0.00
S 0.3031 0.3031 0.3017  -0.03
Mn 0.6668 0.3332 0.5000  2.56
Na 0.1591 0.8409 0.0000  0.00
S 0.4281 0.0588 0.6952  -0.05
S 0.0588 0.4281 0.6952  -0.05
Mn 0.3332 0.6668 0.5000  2.56

## Properties
**ΔE_f (raw)**: -0.72 eV per atom
**Total magnetic moment**: 0.454 μB/atom
**SG**: No. 12
**E**: -5.13 eV per atom


# 2
The following is a PBE-GGA calculation of Ca2Zn5PdRh2 after structural relaxation, from the Alexandria database.

Unit cell a=3.6668 b=9.8461 c=9.8461 alpha=90.00 beta=90.00 gamma=90.00
Fractional coordinates of all 20 atoms:
Zn 0.5000 0.3063 0.5588
Zn 0.5000 0.8063 0.9412
Zn 0.5000 0.0000 0.5000
Zn 0.5000 0.5000 0.0000
Zn 0.5000 0.6937 0.4412
Zn 0.5000 0.0588 0.8063
Ca 0.0000 0.3260 0.8260
Pd 0.0000 0.5000 0.5000
Rh 0.0000 0.3728 0.1272
Zn 0.5000 0.5588 0.6937
Zn 0.5000 0.4412 0.3063
Rh 0.0000 0.6272 0.8728
Ca 0.0000 0.6740 0.1740
Zn 0.5000 0.9412 0.1937
Ca 0.0000 0.8260 0.6740
Ca 0.0000 0.1740 0.3260
Rh 0.0000 0.8728 0.3728
Pd 0.0000 0.0000 0.0000
Rh 0.0000 0.1272 0.6272
Zn 0.5000 0.1937 0.0588

## Properties
**Total magnetic moment**: 0.000 μB/atom
**SG**: No. 127
**Calculated formation energy**: -0.40 eV/atom
**E**: -3.43 eV per atom


# 3
The following is a PBE-GGA calculation of Ce3ScPb5 after structural relaxation, from the Alexandria database.

Unit cell a=6.5195 b=9.5379 c=9.5379 alpha=120.00 beta=90.00 gamma=90.00
Site moments in Bohr magnetons follow the coordinates.
Fractional coordinates of all 18 atoms:
Pb 0.7500 0.2721 0.2721  0.01
Ce 0.2500 0.0000 0.6150  0.52
Pb 0.2500 0.0000 0.2721  0.01
Pb 0.0000 0.3333 0.6667  0.00
Ce 0.2500 0.3850 0.3850  0.52
Ce 0.2500 0.6150 0.0000  0.52
Pb 0.2500 0.7279 0.7279  0.01
Pb 0.0000 0.6667 0.3333  0.00
Pb 0.2500 0.2721 0.0000  0.01
Sc 0.5000 0.0000 0.0000  -0.03
Ce 0.7500 0.3850 0.0000  0.52
Pb 0.7500 0.7279 0.0000  0.01
Ce 0.7500 0.6150 0.6150  0.52
Pb 0.5000 0.6667 0.3333  0.00
Pb 0.7500 0.0000 0.7279  0.01
Ce 0.7500 0.0000 0.3850  0.52
Pb 0.5000 0.3333 0.6667  0.00
Sc 0.0000 0.0000 0.0000  -0.03

## Properties
**Total magnetic moment**: 0.189 μB/atom
**SG**: No. 193
**Calculated formation energy**: -0.43 eV/atom
**E**: -5.17 eV per atom


# 4
The following is a PBE-GGA calculation of CuTe3Cl after structural relaxation, from the Alexandria database.

Unit cell a=5.3368 b=5.3368 c=5.3368 alpha=90.00 beta=90.00 gamma=90.00
Fractional coordinates of all 5 atoms:
Te 0.0000 0.5000 0.0000
Te 0.5000 0.0000 0.0000
Cu 0.5000 0.5000 0.5000
Te 0.0000 0.0000 0.5000
Cl 0.0000 0.0000 0.0000

## Properties
**ΔE_f (raw)**: 1.00 eV per atom
**Total magnetic moment**: 0.000 μB/atom
**SG**: No. 221
**E**: -2.07 eV per atom


# 5
The following is a PBE-GGA calculation of Cr after structural relaxation, from the Alexandria database.

Unit cell a=6.5305 b=6.5305 c=4.1171 alpha=90.00 beta=90.00 gamma=120.00
Fractional coordinates of all 12 atoms:
Cr 0.8933 0.1486 0.7500
Cr 0.0998 0.5979 0.7500
Cr 0.5979 0.4982 0.2500
Cr 0.9002 0.4021 0.2500
Cr 0.1486 0.2553 0.2500
Cr 0.7447 0.8933 0.2500
Cr 0.4982 0.9002 0.7500
Cr 0.1067 0.8514 0.2500
Cr 0.2553 0.1067 0.7500
Cr 0.4021 0.5018 0.7500
Cr 0.8514 0.7447 0.7500
Cr 0.5018 0.0998 0.2500

## Properties
**Total magnetic moment**: 0.000 μB/atom
**SG**: No. 176
**Calculated formation energy**: 0.60 eV/atom
**E**: -9.02 eV per atom


# 6
The following is a PBE-GGA calculation of ZrMnAs3 after structural relaxation, from the Alexandria database.

Unit cell a=4.6683 b=4.6683 c=4.6683 alpha=90.00 beta=90.00 gamma=90.00
Site moments in Bohr magnetons follow the coordinates.
Fractional coordinates of all 5 atoms:
Mn 0.0000 0.0000 0.0000  2.56
As 0.0000 0.5000 0.0000  -0.04
Zr 0.5000 0.5000 0.5000  0.39
As 0.5000 0.0000 0.0000  -0.06
As 0.0000 0.0000 0.5000  -0.03

## Properties
**Total magnetic moment**: 0.612 μB/atom
**SG**: No. 221
**Calculated formation energy**: 0.20 eV/atom
**E**: -6.14 eV per atom


# 7
The following is a PBE-GGA calculation of Pr3CuGe after structural relaxation, from the Alexandria database.

Unit cell a=4.3744 b=7.5928 c=8.6531 alpha=89.03 beta=90.01 gamma=106.74
Fractional coordinates of all 10 atoms:
Pr 0.7853 0.6036 0.3914
Ge 0.6153 0.2633 0.1524
Pr 0.0748 0.1824 0.4054
Pr 0.9692 0.9716 0.0161
Pr 0.2587 0.5504 0.0302
Pr 0.4225 0.8760 0.6301
Cu 0.2317 0.4974 0.6575
Pr 0.6213 0.2782 0.7914
Cu 0.8120 0.6568 0.7642
Ge 0.4290 0.8907 0.2691

## Properties
**Total magnetic moment**: 0.001 μB/atom
**SG**: No. 2
**Calculated formation energy**: -0.35 eV/atom
**E**: -4.96 eV per atom


# 8
The following is a PBE-GGA calculation of CsHgCl3 after structural relaxation, from the Alexandria database.

Unit cell a=5.1952 b=8.7470 c=8.7490 alpha=72.25 beta=89.97 gamma=90.00
Fractional coordinates of all 10 atoms:
Cl 0.9762 0.5498 0.9885
Hg 0.7434 0.2637 0.0797
Cl 0.5021 0.2877 0.3131
Cs 0.4810 0.7282 0.1676
Hg 0.7417 0.6408 0.7027
Cl 0.9822 0.6167 0.4690
Cl 0.5018 0.8744 0.7270
Cs 0.0034 0.1760 0.6145
Cl 0.5089 0.3546 0.7939
Cl 0.9827 0.0299 0.0552

## Properties
**ΔE_f (raw)**: -1.19 eV per atom
**Total magnetic moment**: 0.000 μB/atom
**SG**: No. 2
**E**: -2.53 eV per atom


# 9
The following is a PBE-GGA calculation of YScSn2 after structural relaxation, from the Alexandria database.

Unit cell a=5.2369 b=5.2369 c=5.2369 alpha=60.00 beta=60.00 gamma=60.00
Fractional coordinates of all 4 atoms:
Sn 0.2500 0.2500 0.2500
Y 0.5000 0.5000 0.5000
Sc 0.0000 0.0000 0.0000
Sn 0.7500 0.7500 0.7500

## Properties
**Total magnetic moment**: 0.000 μB/atom
**SG**: No. 225
**Calculated formation energy**: -0.49 eV/atom
**E**: -5.69 eV per atom


# 10
The following is a PBE-GGA calculation of La2ZrPa after structural relaxation, from the Alexandria database.

Unit cell a=3.3122 b=3.3122 c=12.1743 alpha=82.18 beta=82.18 gamma=60.00
Fractional coordinates of all 4 atoms:
La 0.9125 0.9125 0.2625
Pa 0.0000 0.0000 0.0000
Zr 0.5000 0.5000 0.5000
La 0.0875 0.0875 0.7375

## Properties
**Total magnetic moment**: 0.000 μB/atom
**SG**: No. 166
**Calculated formation energy**: 0.33 eV/atom
**E**: -6.65 eV per atom


# 11
The following is a PBE-GGA calculation of AsBrF after structural relaxation, from the Alexandria database.

Unit cell a=4.6527 b=8.1040 c=6.0918 alpha=82.81 beta=74.41 gamma=58.78
Fractional coordinates of all 6 atoms:
As 0.0290 0.1269 0.7231
F 0.7944 0.7799 0.5159
Br 0.3691 0.6500 0.9274
F 0.6253 0.1301 0.7650
As 0.3908 0.7832 0.5572
Br 0.0506 0.2599 0.3527

## Properties
**ΔE_f (raw)**: -1.06 eV per atom
**Total magnetic moment**: 0.000 μB/atom
**SG**: No. 2
**E**: -3.79 eV per atom


# 12
The following is a PBE-GGA calculation of InCuIr2 after structural relaxation, from the Alexandria database.

Unit cell a=8.6442 b=8.6442 c=8.6442 alpha=19.40 beta=19.40 gamma=19.40
Fractional coordinates of all 4 atoms:
Ir 0.9960 0.9960 0.9960
Ir 0.5040 0.5040 0.5040
In 0.7500 0.7500 0.7500
Cu 0.2500 0.2500 0.2500

## Properties
**Total magnetic moment**: 0.000 μB/atom
**SG**: No. 166
**Calculated formation energy**: 0.24 eV/atom
**E**: -5.90 eV per atom


# 13
The following is a PBE-GGA calculation of LiSc2Br after structural relaxation, from the Alexandria database.

Unit cell a=10.1929 b=10.1929 c=10.1929 alpha=19.51 beta=19.51 gamma=19.51
Site moments in Bohr magnetons follow the coordinates.
Fractional coordinates of all 4 atoms:
Sc 0.9140 0.9140 0.9140  0.06
Sc 0.0860 0.0860 0.0860  0.06
Br 0.0000 0.0000 0.0000  0.00
Li 0.5000 0.5000 0.5000  0.01

## Properties
**ΔE_f (raw)**: -0.14 eV per atom
**Total magnetic moment**: 0.072 μB/atom
**SG**: No. 166
**E**: -4.20 eV per atom


# 14
The following is a PBE-GGA calculation of Sc2Ag2Pt after structural relaxation, from the Alexandria database.

Unit cell a=7.3160 b=7.3160 c=3.6118 alpha=90.00 beta=90.00 gamma=90.00
Fractional coordinates of all 10 atoms:
Sc 0.3222 0.1778 0.5000
Sc 0.6778 0.8222 0.5000
Ag 0.3710 0.8710 0.0000
Pt 0.0000 0.0000 0.0000
Ag 0.8710 0.6290 0.0000
Ag 0.6290 0.1290 0.0000
Sc 0.1778 0.6778 0.5000
Sc 0.8222 0.3222 0.5000
Pt 0.5000 0.5000 0.0000
Ag 0.1290 0.3710 0.0000

## Properties
**Total magnetic moment**: 0.000 μB/atom
**SG**: No. 127
**Calculated formation energy**: -0.34 eV/atom
**E**: -5.22 eV per atom


# 15
The following is a PBE-GGA calculation of NbPbI3 after structural relaxation, from the Alexandria database.

Unit cell a=5.7288 b=5.7288 c=5.7288 alpha=90.00 beta=90.00 gamma=90.00
Site moments in Bohr magnetons follow the coordinates.
Fractional coordinates of all 5 atoms:
I 0.0000 0.0000 0.5000  0.00
Pb 0.5000 0.5000 0.5000  0.40
I 0.0000 0.5000 0.0000  0.00
I 0.5000 0.0000 0.0000  0.01
Nb 0.0000 0.0000 0.0000  2.27

## Properties
**ΔE_f (raw)**: 0.16 eV per atom
**Total magnetic moment**: 0.799 μB/atom
**SG**: No. 221
**E**: -3.53 eV per atom


# 16
The following is a PBE-GGA calculation of LaCe2Ag2Au2 after structural relaxation, from the Alexandria database.

Unit cell a=4.9285 b=4.9285 c=8.3001 alpha=72.73 beta=72.73 gamma=60.00
Site moments in Bohr magnetons follow the coordinates.
Fractional coordinates of all 7 atoms:
Ce 0.1408 0.1408 0.5775  0.63
Ce 0.8592 0.8592 0.4225  0.63
Au 0.2668 0.2668 0.1997  0.00
Ag 0.4204 0.4204 0.7387  -0.01
Ag 0.5796 0.5796 0.2613  -0.01
La 0.0000 0.0000 0.0000  0.08
Au 0.7332 0.7332 0.8003  0.00

## Properties
**Total magnetic moment**: 0.219 μB/atom
**SG**: No. 166
**Calculated formation energy**: -0.39 eV/atom
**E**: -4.54 eV per atom


# 17
The following is a PBE-GGA calculation of AcPr4Nd after structural relaxation, from the Alexandria database.

Unit cell a=7.0338 b=7.0338 c=11.9435 alpha=90.00 beta=90.00 gamma=117.79
Fractional coordinates of all 12 atoms:
Pr 0.7409 0.7409 0.4996
Pr 0.9904 0.4917 0.7500
Pr 0.0096 0.5083 0.2500
Ac 0.9969 0.9969 0.7500
Ac 0.0031 0.0031 0.2500
Pr 0.2591 0.2591 0.9996
Pr 0.7409 0.7409 0.0004
Pr 0.4917 0.9904 0.7500
Pr 0.2591 0.2591 0.5004
Pr 0.5083 0.0096 0.2500
Nd 0.5032 0.5032 0.2500
Nd 0.4968 0.4968 0.7500

## Properties
**Total magnetic moment**: 0.000 μB/atom
**SG**: No. 63
**Calculated formation energy**: 0.49 eV/atom
**E**: -4.17 eV per atom


# 18
The following is a PBE-GGA calculation of DyY2TmTh after structural relaxation, from the Alexandria database.

Unit cell a=6.3178 b=8.5436 c=6.2748 alpha=95.67 beta=90.00 gamma=90.00
Fractional coordinates of all 10 atoms:
Dy 0.0000 0.0000 0.5000
Y 0.2998 0.3124 0.2205
Y 0.7002 0.6876 0.7795
Th 0.5528 0.0000 0.2500
Tm 0.8175 0.5000 0.2500
Y 0.2998 0.6876 0.2795
Dy 0.0000 0.0000 0.0000
Y 0.7002 0.3124 0.7205
Tm 0.1825 0.5000 0.7500
Th 0.4472 0.0000 0.7500

## Properties
**Total magnetic moment**: 0.000 μB/atom
**SG**: No. 13
**Calculated formation energy**: 0.34 eV/atom
**E**: -5.54 eV per atom


# 19
The following is a PBE-GGA calculation of Ba6Na2IrRh after structural relaxation, from the Alexandria database.

Unit cell a=8.7697 b=8.7698 c=8.7714 alpha=119.96 beta=119.96 gamma=90.05
Fractional coordinates of all 10 atoms:
Ba 0.2508 0.2513 0.5018
Na 0.2499 0.7503 0.4997
Rh 0.0000 0.0004 0.0000
Ba 0.7490 0.7495 0.4978
Ba 0.2510 0.2514 0.0002
Ir 0.4999 0.5004 0.9998
Ba 0.2508 0.7494 0.9998
Ba 0.7487 0.7493 0.9993
Na 0.7498 0.2504 0.4997
Ba 0.7489 0.2514 0.9997

## Properties
**Total magnetic moment**: 0.000 μB/atom
**SG**: No. 139
**Calculated formation energy**: -0.12 eV/atom
**E**: -3.16 eV per atom


# 20
The following is a PBE-GGA calculation of Tb3Sm2Ho4 after structural relaxation, from the Alexandria database.

Unit cell a=5.9997 b=11.2494 c=11.2493 alpha=61.95 beta=63.59 gamma=63.59
Fractional coordinates of all 18 atoms:
Ho 0.5888 0.3769 0.1590
Ho 0.4209 0.9545 0.1698
Tb 0.7555 0.0126 0.3174
Ho 0.4112 0.6231 0.8410
Sm 0.0705 0.4920 0.7176
Tb 0.7445 0.6826 0.9874
Ho 0.0791 0.8302 0.0455
Tb 0.2555 0.3174 0.0126
Sm 0.4295 0.2824 0.5080
Ho 0.9112 0.8410 0.6231
Ho 0.5791 0.0455 0.8302
Tb 0.2445 0.9874 0.6826
Ho 0.0888 0.1590 0.3769
Sm 0.9295 0.5080 0.2824
Ho 0.9209 0.1698 0.9545
Tb 0.2500 0.6515 0.3485
Tb 0.7500 0.3485 0.6515
Sm 0.5705 0.7176 0.4920

## Properties
**Total magnetic moment**: 0.000 μB/atom
**SG**: No. 15
**Calculated formation energy**: 0.10 eV/atom
**E**: -4.53 eV per atom


# 21
The following is a PBE-GGA calculation of KBeW2 after structural relaxation, from the Alexandria database.

Unit cell a=5.8745 b=5.8745 c=5.8745 alpha=150.62 beta=121.77 gamma=66.55
Fractional coordinates of all 4 atoms:
W 0.7508 0.2508 0.5000
K 0.2556 0.7556 0.5000
W 0.9488 0.9488 0.0000
Be 0.5448 0.5448 0.0000

## Properties
**Total magnetic moment**: 0.000 μB/atom
**SG**: No. 44
**Calculated formation energy**: 1.58 eV/atom
**E**: -6.10 eV per atom


# 22
The following is a PBE-GGA calculation of Rb2WSBr6 after structural relaxation, from the Alexandria database.

Unit cell a=8.5030 b=8.5030 c=7.8510 alpha=57.21 beta=57.21 gamma=90.00
Site moments in Bohr magnetons follow the coordinates.
Fractional coordinates of all 10 atoms:
Br 0.7865 0.7865 0.0000  0.01
S 0.5000 0.5000 0.0000  -0.18
Br 0.2135 0.7865 0.0000  0.01
Br 0.2522 0.2522 0.4955  -0.02
Rb 0.2500 0.7500 0.5000  0.00
W 0.0000 0.0000 0.0000  1.46
Br 0.7478 0.7478 0.5045  -0.02
Br 0.2135 0.2135 0.0000  0.01
Rb 0.7500 0.2500 0.5000  0.00
Br 0.7865 0.2135 0.0000  0.01

## Properties
**ΔE_f (raw)**: -0.64 eV per atom
**Total magnetic moment**: 0.158 μB/atom
**SG**: No. 139
**E**: -3.55 eV per atom


# 23
The following is a PBE-GGA calculation of Mg2Tl3Hg9 after structural relaxation, from the Alexandria database.

Unit cell a=3.4988 b=10.4602 c=10.4605 alpha=92.39 beta=80.37 gamma=80.37
Fractional coordinates of all 14 atoms:
Mg 0.5000 0.6605 0.3395
Hg 0.3891 0.2775 0.9444
Tl 0.2381 0.7619 0.7619
Hg 0.1716 0.1640 0.4928
Hg 0.6109 0.0556 0.7225
Hg 0.8284 0.5072 0.8359
Tl 0.7619 0.2381 0.2381
Hg 0.6109 0.7225 0.0556
Hg 0.1716 0.4928 0.1641
Hg 0.0000 0.5000 0.5000
Hg 0.3891 0.9444 0.2775
Hg 0.8284 0.8360 0.5072
Mg 0.5000 0.3395 0.6605
Tl 0.0000 0.0000 0.0000

## Properties
**Total magnetic moment**: 0.000 μB/atom
**SG**: No. 71
**Calculated formation energy**: -0.04 eV/atom
**E**: -0.97 eV per atom